A plane-wave DFT calculation with PBE with a Hubbard U was carried out for a relaxed structure of MnHO2.

Summary:
**Theoretical density**: 3.96 g cm⁻³
**VASP energy**: -6.58 eV/atom

```
16
Lattice="10.850 0.000 0.000 0.000 2.952 0.000 0.000 0.000 4.611" Properties=species:S:1:pos:R:3 pbc="T T T"
Mn 1.511 0.738 0.276
Mn 3.914 2.214 2.581
Mn 6.936 0.738 2.029
Mn 9.339 2.214 4.334
H 1.179 2.214 2.792
H 4.246 0.738 0.486
H 6.604 2.214 4.124
H 9.671 0.738 1.819
O 0.779 2.214 3.738
O 2.012 2.214 1.444
O 3.413 0.738 3.749
O 4.646 0.738 1.433
O 6.204 2.214 3.178
O 7.437 2.214 0.861
O 8.838 0.738 3.167
O 10.071 0.738 0.873
```